# 1
Below is a relaxed structure of Np3Mn2Ga9, with properties calculated at the PBE level.

Unit cell a=4.3713 b=7.9759 c=7.9759 alpha=72.20 beta=74.10 gamma=74.10
Site moments in Bohr magnetons follow the coordinates.
Fractional coordinates of all 14 atoms:
Ga 0.1347 0.1472 0.5836  -0.01
Ga 0.0000 0.5000 0.5000  -0.03
Ga 0.1347 0.5836 0.1472  -0.01
Np 0.0000 0.0000 0.0000  3.74
Ga 0.3528 0.2858 0.0084  0.00
Ga 0.8653 0.4164 0.8528  -0.01
Ga 0.6472 0.7142 0.9916  0.00
Mn 0.5000 0.6560 0.3440  2.35
Ga 0.3528 0.0084 0.2858  0.00
Np 0.3023 0.6979 0.6979  -3.78
Mn 0.5000 0.3440 0.6560  2.35
Ga 0.6472 0.9916 0.7142  0.00
Ga 0.8653 0.8528 0.4164  -0.01
Np 0.6977 0.3021 0.3021  -3.78

Calculated values
formation energy: -203 kJ/mol of formula units
E_tot: -86.51 eV/cell
space group: No. 71

# 2
Below is a relaxed structure of PrSm7Dy12, with properties calculated at the PBE level.

Unit cell a=8.7461 b=8.7461 c=8.7461 alpha=95.05 beta=95.05 gamma=95.05
Fractional coordinates of all 20 atoms:
Dy 0.8532 0.5848 0.5199
Dy 0.5848 0.5199 0.8532
Dy 0.3190 0.1871 0.7487
Sm 0.9819 0.9152 0.6450
Dy 0.1871 0.7487 0.3190
Sm 0.0848 0.3550 0.0181
Pr 0.0000 0.0000 0.0000
Sm 0.6450 0.9819 0.9152
Sm 0.3550 0.0181 0.0848
Dy 0.2513 0.6810 0.8129
Dy 0.6810 0.8129 0.2513
Dy 0.8129 0.2513 0.6810
Dy 0.4152 0.4801 0.1468
Dy 0.7487 0.3190 0.1871
Sm 0.9152 0.6450 0.9819
Dy 0.4801 0.1468 0.4152
Dy 0.5199 0.8532 0.5848
Dy 0.1468 0.4152 0.4801
Sm 0.0181 0.0848 0.3550
Sm 0.5000 0.5000 0.5000

Calculated values
formation energy: 551 kJ/mol of formula units
E above lowest polymorph: 0 meV per atom
E_tot: -87.33 eV/cell
space group: No. 148

# 3
Below is a relaxed structure of RbNi2Pd, with properties calculated at the PBE level.

Unit cell a=4.6294 b=4.6294 c=4.6294 alpha=60.00 beta=60.00 gamma=60.00
Site moments in Bohr magnetons follow the coordinates.
Fractional coordinates of all 4 atoms:
Pd 0.5000 0.5000 0.5000  0.08
Rb 0.0000 0.0000 0.0000  -0.01
Ni 0.7500 0.7500 0.7500  0.30
Ni 0.2500 0.2500 0.2500  0.30

Calculated values
formation energy: 382 kJ/mol of formula units
E above lowest polymorph: 328 meV per atom
E_tot: -13.76 eV/cell
space group: No. 225

# 4
Below is a relaxed structure of Hg4Br3O2, with properties calculated at the PBE level.

Unit cell a=7.0762 b=9.1671 c=9.1671 alpha=94.78 beta=100.73 gamma=100.73
Fractional coordinates of all 18 atoms:
O 0.1391 0.1980 0.3788
Hg 0.4464 0.7573 0.0096
Br 0.5495 0.9534 0.2338
Br 0.0495 0.2338 0.9534
Hg 0.0536 0.9904 0.2427
Hg 0.5891 0.6767 0.6708
O 0.6391 0.3788 0.1980
O 0.3609 0.6212 0.8020
Hg 0.9109 0.3292 0.3233
Br 0.9505 0.7662 0.0466
O 0.8609 0.8020 0.6212
Br 0.7500 0.3993 0.6007
Hg 0.5536 0.2427 0.9904
Hg 0.0891 0.6708 0.6767
Br 0.4505 0.0466 0.7662
Hg 0.4109 0.3233 0.3292
Br 0.2500 0.6007 0.3993
Hg 0.9464 0.0096 0.7573

Calculated values
E above lowest polymorph: 32 meV per atom
uncorrected formation energy: -0.2621 eV per atom
E_tot: -37.00 eV/cell
space group: No. 15

# 5
Below is a relaxed structure of Li5Ru, with properties calculated at the PBE level.

Unit cell a=4.8051 b=4.8051 c=4.4623 alpha=90.00 beta=90.00 gamma=120.00
Fractional coordinates of all 6 atoms:
Li 0.3333 0.6667 0.5000
Li 0.3154 0.3154 0.0000
Ru 0.0000 0.0000 0.5000
Li 0.6846 0.0000 0.0000
Li 0.0000 0.6846 0.0000
Li 0.6667 0.3333 0.5000

Calculated values
formation energy: 132 kJ/mol of formula units
E above lowest polymorph: 131 meV per atom
E_tot: -17.48 eV/cell
space group: No. 189

# 6
Below is a relaxed structure of MgHg2P, with properties calculated at the PBE level.

Unit cell a=3.1226 b=3.1226 c=9.1959 alpha=90.00 beta=90.00 gamma=90.03
Fractional coordinates of all 4 atoms:
Hg 0.5000 0.5000 0.2858
Hg 0.0000 0.0000 0.9901
P 0.5000 0.5000 0.6941
Mg 0.0000 0.0000 0.5300

Calculated values
formation energy: 21 kJ/mol of formula units
E_tot: -7.40 eV/cell
space group: No. 99

# 7
Below is a relaxed structure of K2LiIr, with properties calculated at the PBE level.

Unit cell a=5.3922 b=5.3922 c=5.3922 alpha=60.00 beta=60.00 gamma=60.00
Fractional coordinates of all 4 atoms:
Ir 0.5000 0.5000 0.5000
Li 0.0000 0.0000 0.0000
K 0.2500 0.2500 0.2500
K 0.7500 0.7500 0.7500

Calculated values
formation energy: 306 kJ/mol of formula units
E above lowest polymorph: 376 meV per atom
E_tot: -9.80 eV/cell
space group: No. 225

# 8
Below is a relaxed structure of K2Tl4In3, with properties calculated at the PBE level.

Unit cell a=6.3414 b=6.3414 c=8.8897 alpha=100.07 beta=100.07 gamma=120.65
Fractional coordinates of all 9 atoms:
In 0.0000 0.0000 0.0000
K 0.3708 0.3708 0.7417
In 0.5000 0.0000 0.0000
Tl 0.3341 0.0085 0.3425
Tl 0.6659 0.9915 0.6575
Tl 0.9915 0.6659 0.6575
In 0.0000 0.5000 0.0000
K 0.6292 0.6292 0.2583
Tl 0.0085 0.3341 0.3425

Calculated values
formation energy: -72 kJ/mol of formula units
E above lowest polymorph: 0 meV per atom
E_tot: -20.63 eV/cell
space group: No. 69

# 9
Below is a relaxed structure of Be2PtCl, with properties calculated at the PBE level.

Unit cell a=2.9532 b=2.9531 c=6.4225 alpha=90.00 beta=90.00 gamma=90.00
Fractional coordinates of all 4 atoms:
Pt 0.5000 0.5000 0.7500
Be 0.0000 0.0000 0.9405
Cl 0.5000 0.5000 0.2500
Be 0.0000 0.0000 0.5595

Calculated values
E above lowest polymorph: 354 meV per atom
uncorrected formation energy: -0.1832 eV per atom
E_tot: -16.07 eV/cell
space group: No. 123

# 10
Below is a relaxed structure of KPb2Se, with properties calculated at the PBE level.

Unit cell a=9.3202 b=9.3202 c=7.3239 alpha=50.48 beta=50.48 gamma=90.00
Fractional coordinates of all 8 atoms:
Se 0.0000 0.0000 0.0000
Se 0.7500 0.2500 0.5000
Pb 0.3750 0.3173 0.7500
K 0.2500 0.7500 0.5000
K 0.5000 0.5000 0.0000
Pb 0.0673 0.6250 0.2500
Pb 0.8750 0.9327 0.7500
Pb 0.6827 0.1250 0.2500

Calculated values
uncorrected formation energy: -0.2738 eV per atom
E_tot: -26.19 eV/cell
space group: No. 122

# 11
Below is a relaxed structure of Er4Sb2TeP, with properties calculated at the PBE level.

Unit cell a=4.2329 b=7.3889 c=7.3513 alpha=109.18 beta=90.00 gamma=90.00
Fractional coordinates of all 8 atoms:
Te 0.5000 0.5000 0.0000
P 0.0000 0.0000 0.0000
Sb 0.5000 0.0000 0.5000
Er 0.0000 0.7663 0.2449
Er 0.5000 0.7708 0.7659
Er 0.5000 0.2292 0.2341
Sb 0.0000 0.5000 0.5000
Er 0.0000 0.2337 0.7551

Calculated values
uncorrected formation energy: -1.2583 eV per atom
E_tot: -45.11 eV/cell
space group: No. 10

# 12
Below is a relaxed structure of ThSb2PdN, with properties calculated at the PBE level.

Unit cell a=3.9234 b=3.9234 c=15.7190 alpha=90.00 beta=90.00 gamma=90.00
Fractional coordinates of all 10 atoms:
Pd 0.5000 0.0000 0.1032
N 0.5000 0.5000 0.5000
Sb 0.0000 0.5000 0.0694
Th 0.5000 0.0000 0.5774
Th 0.0000 0.5000 0.4226
Sb 0.5000 0.0000 0.2732
Pd 0.0000 0.5000 0.8968
Sb 0.0000 0.5000 0.7268
N 0.0000 0.0000 0.5000
Sb 0.5000 0.0000 0.9306

Calculated values
uncorrected formation energy: -0.8005 eV per atom
E_tot: -66.37 eV/cell
space group: No. 129